Entry 1:
BeSn2Mo GGA-PBE relaxed; calculated total energy = -4.74 eV per atom; crystal system = cubic; M_tot = 1.49 μB/f.u.
1.0
0.000 3.343 3.343
3.343 0.000 3.343
3.343 3.343 0.000
Sn Mo Be
2 1 1
Cartesian
5.015 5.015 5.015
0.000 0.000 0.000
1.672 1.672 1.672
3.343 3.343 3.343

---

Entry 2:
SrBeMo GGA-PBE relaxed; calculated total energy = -3.34 eV per atom; crystal system = cubic; M_tot = 3.24 μB/f.u.
1.0
2.715 -3.563 -1.884
-2.089 -3.525 -2.614
0.727 -0.222 -4.800
Sr Mo Be
1 1 1
Cartesian
0.000 0.000 0.000
1.015 -5.482 -6.973
0.338 -1.827 -2.324

---

Entry 3:
SrBeMo GGA-PBE relaxed; calculated total energy = -4.12 eV per atom; crystal system = cubic; M_tot = 2.48 μB/f.u.
1.0
-2.784 0.272 3.676
-0.539 4.028 2.196
-4.008 2.276 -0.302
Be Mo Sr
1 1 1
Cartesian
0.000 0.000 0.000
-1.833 1.644 1.392
-5.498 4.932 4.177

---

Entry 4:
TaBeMo GGA-PBE relaxed; calculated total energy = -8.43 eV per atom; crystal system = cubic; M_tot = 0.00 μB/f.u.
1.0
-3.680 1.544 0.406
-1.374 2.642 -2.687
-2.912 -1.060 -2.546
Ta Be Mo
1 1 1
Cartesian
-5.975 2.344 -3.620
0.000 0.000 0.000
-1.992 0.781 -1.207